Below is a relaxed Mg2ZnAs2 crystal, with properties calculated at the PBE-GGA level.

a = 8.0885 Å, b = 8.0885 Å, c = 3.0621 Å
α = 90.00°, β = 90.00°, γ = 90.00°
Space group P4/mbm (No. 127)
Inequivalent atoms, fractional coordinates:
Mg: 0.1423 0.3577 0.0000 x4
Zn: 0.0000 0.0000 0.0000 x2
As: 0.1562 0.6562 0.5000 x4

Summary:
The calculation puts the formation enthalpy at 0 K at -0.14 eV/atom. The size of the total moment comes out at 0.000 μB/atom. The mass density is 4.4 g/cm3. The value obtained for the total energy is -2.8936 eV per atom. The value obtained for the density of states at the Fermi level is 3.59 states/eV/cell.



Below is a relaxed MgZn2As crystal, with properties calculated at the PBE-GGA level.

a = 3.0451 Å, b = 5.2408 Å, c = 4.5732 Å
α = 90.00°, β = 93.08°, γ = 90.00°
Space group P2/m (No. 10)
Inequivalent atoms, fractional coordinates:
Mg: 0.0000 0.0000 0.0000 x1
Zn: 0.2944 0.5000 0.2444 x2
As: 0.5000 0.0000 0.5000 x1

Summary:
The calculation puts the formation enthalpy at 0 K at -0.03 eV/atom. The size of the total moment comes out at 0.000 μB/atom. The mass density is 5.2 g/cm3. The value obtained for the total energy is -2.2289 eV per atom. The value obtained for the density of states at the Fermi level is 1.14 states/eV/cell.



Below is a relaxed MgZn2As crystal, with properties calculated at the PBE-GGA level.

a = 3.0103 Å, b = 3.0103 Å, c = 7.8691 Å
α = 90.00°, β = 90.00°, γ = 90.00°
Space group P4mm (No. 99)
Inequivalent atoms, fractional coordinates:
Mg: 0.0000 0.0000 0.0000 x1
Zn: 0.0000 0.0000 0.4687 x1
Zn: 0.5000 0.5000 0.2543 x1
As: 0.5000 0.5000 0.7442 x1

Summary:
The calculation puts the formation enthalpy at 0 K at 0.03 eV/atom. The size of the total moment comes out at 0.000 μB/atom. The mass density is 5.4 g/cm3. The value obtained for the total energy is -2.1717 eV per atom. The value obtained for the density of states at the Fermi level is 1.15 states/eV/cell.



Below is a relaxed Mg2ZnAs2 crystal, with properties calculated at the PBE-GGA level.

a = 4.2946 Å, b = 4.2946 Å, c = 6.5706 Å
α = 90.00°, β = 90.00°, γ = 120.00°
Space group P-3m1 (No. 164)
Inequivalent atoms, fractional coordinates:
Mg: 0.3333 0.6667 0.1482 x2
Zn: 0.0000 0.0000 0.5000 x1
As: 0.3333 0.6667 0.7224 x2

Summary:
The calculation puts the formation enthalpy at 0 K at -0.31 eV/atom. The size of the total moment comes out at 0.000 μB/atom. The mass density is 4.2 g/cm3. The value obtained for the total energy is -3.0601 eV per atom. The value obtained for the density of states at the Fermi level is 0.40 states/eV/cell.



Below is a relaxed Mg3ZnAs crystal, with properties calculated at the PBE-GGA level.

a = 5.0385 Å, b = 5.0385 Å, c = 5.0385 Å
α = 90.00°, β = 90.00°, γ = 90.00°
Space group Pm-3m (No. 221)
Inequivalent atoms, fractional coordinates:
Mg: 0.0000 0.0000 0.5000 x3
Zn: 0.5000 0.5000 0.5000 x1
As: 0.0000 0.0000 0.0000 x1

Summary:
The calculation puts the formation enthalpy at 0 K at 0.10 eV/atom. The size of the total moment comes out at 0.000 μB/atom. The mass density is 2.8 g/cm3. The value obtained for the total energy is -2.0403 eV per atom. The value obtained for the density of states at the Fermi level is 1.87 states/eV/cell.



Below is a relaxed Mg2ZnAs crystal, with properties calculated at the PBE-GGA level.

a = 3.9918 Å, b = 3.9240 Å, c = 5.3803 Å
α = 90.00°, β = 111.66°, γ = 90.00°
Space group Pm (No. 6)
Inequivalent atoms, fractional coordinates:
Mg: 0.0000 0.0000 0.0000 x1
Mg: 0.2833 0.5000 0.5696 x1
Zn: 0.7257 0.0000 0.4577 x1
As: 0.5607 0.5000 0.1193 x1

Summary:
The calculation puts the formation enthalpy at 0 K at -0.28 eV/atom. The size of the total moment comes out at 0.000 μB/atom. The mass density is 4.0 g/cm3. The value obtained for the total energy is -2.5584 eV per atom. The value obtained for the density of states at the Fermi level is 0.81 states/eV/cell.



Below is a relaxed MgZn2As crystal, with properties calculated at the PBE-GGA level.

a = 7.8017 Å, b = 7.8017 Å, c = 5.1899 Å
α = 90.00°, β = 90.00°, γ = 90.00°
Space group I-42d (No. 122)
Inequivalent atoms, fractional coordinates:
Mg: 0.0000 0.0000 0.0000 x4
Zn: 0.2029 0.2500 0.6250 x8
As: 0.0000 0.0000 0.5000 x4

Summary:
The calculation puts the formation enthalpy at 0 K at 0.00 eV/atom. The size of the total moment comes out at 0.000 μB/atom. The mass density is 4.8 g/cm3. The value obtained for the total energy is -2.1964 eV per atom. The value obtained for the density of states at the Fermi level is 7.58 states/eV/cell.



Below is a relaxed Mg2ZnAs crystal, with properties calculated at the PBE-GGA level.

a = 3.4472 Å, b = 3.4472 Å, c = 6.3879 Å
α = 90.00°, β = 90.00°, γ = 90.00°
Space group P4/mmm (No. 123)
Inequivalent atoms, fractional coordinates:
Mg: 0.0000 0.0000 0.2452 x2
Zn: 0.5000 0.5000 0.5000 x1
As: 0.5000 0.5000 0.0000 x1

Summary:
The calculation puts the formation enthalpy at 0 K at -0.16 eV/atom. The size of the total moment comes out at 0.000 μB/atom. The mass density is 4.1 g/cm3. The value obtained for the total energy is -2.4350 eV per atom. The value obtained for the density of states at the Fermi level is 2.15 states/eV/cell.



Below is a relaxed Mg2ZnAs crystal, with properties calculated at the PBE-GGA level.

a = 6.7946 Å, b = 6.7946 Å, c = 6.7946 Å
α = 90.00°, β = 90.00°, γ = 90.00°
Space group Fm-3m (No. 225)
Inequivalent atoms, fractional coordinates:
Mg: 0.2500 0.2500 0.2500 x8
Zn: 0.0000 0.0000 0.0000 x4
As: 0.0000 0.0000 0.5000 x4

Summary:
The calculation puts the formation enthalpy at 0 K at -0.15 eV/atom. The size of the total moment comes out at 0.000 μB/atom. The mass density is 4.0 g/cm3. The value obtained for the total energy is -2.4325 eV per atom. The value obtained for the density of states at the Fermi level is 7.98 states/eV/cell.



Below is a relaxed Mg2ZnAs crystal, with properties calculated at the PBE-GGA level.

a = 3.9835 Å, b = 3.9835 Å, c = 9.5753 Å
α = 90.00°, β = 90.00°, γ = 90.00°
Space group I-4m2 (No. 119)
Inequivalent atoms, fractional coordinates:
Mg: 0.0000 0.0000 0.0000 x2
Mg: 0.0000 0.5000 0.2500 x2
Zn: 0.0000 0.5000 0.7500 x2
As: 0.0000 0.0000 0.5000 x2

Summary:
The calculation puts the formation enthalpy at 0 K at -0.16 eV/atom. The size of the total moment comes out at 0.000 μB/atom. The mass density is 4.1 g/cm3. The value obtained for the total energy is -2.4390 eV per atom. The value obtained for the density of states at the Fermi level is 3.11 states/eV/cell.



Below is a relaxed MgZn2As crystal, with properties calculated at the PBE-GGA level.

a = 3.1397 Å, b = 3.1397 Å, c = 25.8992 Å
α = 90.00°, β = 90.00°, γ = 120.00°
Space group R-3m (No. 166, hexagonal axes)
Inequivalent atoms, fractional coordinates:
Mg: 0.0000 0.0000 0.0000 x3
Zn: 0.0000 0.0000 0.2493 x6
As: 0.0000 0.0000 0.5000 x3

Summary:
The calculation puts the formation enthalpy at 0 K at 0.08 eV/atom. The size of the total moment comes out at 0.000 μB/atom. The mass density is 5.2 g/cm3. The value obtained for the total energy is -2.1219 eV per atom. The value obtained for the density of states at the Fermi level is 3.72 states/eV/cell.



Below is a relaxed MgZn2As crystal, with properties calculated at the PBE-GGA level.

a = 3.8968 Å, b = 4.4833 Å, c = 8.3393 Å
α = 90.00°, β = 90.00°, γ = 90.00°
Space group Cmmm (No. 65)
Inequivalent atoms, fractional coordinates:
Mg: 0.0000 0.0000 0.0000 x2
Zn: 0.0000 0.5000 0.2494 x4
As: 0.0000 0.0000 0.5000 x2

Summary:
The calculation puts the formation enthalpy at 0 K at 0.10 eV/atom. The size of the total moment comes out at 0.000 μB/atom. The mass density is 5.2 g/cm3. The value obtained for the total energy is -2.1003 eV per atom. The value obtained for the density of states at the Fermi level is 3.63 states/eV/cell.



What did the ninth record say?
Below is a relaxed Mg2ZnAs crystal, with properties calculated at the PBE-GGA level.

a = 6.7946 Å, b = 6.7946 Å, c = 6.7946 Å
α = 90.00°, β = 90.00°, γ = 90.00°
Space group Fm-3m (No. 225)
Inequivalent atoms, fractional coordinates:
Mg: 0.2500 0.2500 0.2500 x8
Zn: 0.0000 0.0000 0.0000 x4
As: 0.0000 0.0000 0.5000 x4

Summary:
The calculation puts the formation enthalpy at 0 K at -0.15 eV/atom. The size of the total moment comes out at 0.000 μB/atom. The mass density is 4.0 g/cm3. The value obtained for the total energy is -2.4325 eV per atom. The value obtained for the density of states at the Fermi level is 7.98 states/eV/cell.



- Which formula does entry 10 have?
  Mg2ZnAs